VASP calculation (PBE) on HgSbAsBr2 after structural relaxation.

Cell and atoms, written as extended XYZ:
```
5
Lattice="5.672 0.000 0.000 0.000 5.672 0.000 0.000 0.000 5.605" Properties=species:S:1:pos:R:3 pbc="T T T"
Hg 0.000 0.000 0.000
Sb 2.836 2.836 2.802
As 2.836 2.836 0.000
Br 0.000 2.836 2.802
Br 2.836 0.000 2.802
```

Properties
Total moment, μB per atom: 0.3416
Crystal system: tetragonal
Uncorrected formation energy, eV per formula unit: 0.616
Relative energy among the computed polymorphs, meV per atom: 0.0
Fermi-level density of states, states/eV/atom: 0.16


VASP calculation (PBE) on ScHgAsBr2 after structural relaxation.

Cell and atoms, written as extended XYZ:
```
5
Lattice="5.213 0.000 0.000 0.000 5.213 0.000 0.000 0.000 5.536" Properties=species:S:1:pos:R:3 pbc="T T T"
Sc 0.000 0.000 0.000
Hg 2.607 2.607 2.768
As 0.000 0.000 2.768
Br 0.000 2.607 0.000
Br 2.607 0.000 0.000
```

Properties
Total moment, μB per atom: 0.0920
Crystal system: tetragonal
Uncorrected formation energy, eV per formula unit: -2.939
Relative energy among the computed polymorphs, meV per atom: 0.0
Fermi-level density of states, states/eV/atom: 0.71


VASP calculation (PBE) on ScHgAsBr2 after structural relaxation.

Cell and atoms, written as extended XYZ:
```
5
Lattice="5.373 0.000 0.000 0.000 5.373 0.000 0.000 0.000 5.364" Properties=species:S:1:pos:R:3 pbc="T T T"
Sc 0.000 0.000 0.000
Hg 2.687 2.687 2.682
As 2.687 2.687 0.000
Br 0.000 2.687 2.682
Br 2.687 0.000 2.682
```

Properties
Total moment, μB per atom: 0.0588
Crystal system: tetragonal
Uncorrected formation energy, eV per formula unit: 1.353
Relative energy among the computed polymorphs, meV per atom: 858.3
Fermi-level density of states, states/eV/atom: 0.66


VASP calculation (PBE) on HgAs2SeBr after structural relaxation.

Cell and atoms, written as extended XYZ:
```
5
Lattice="5.359 0.000 0.000 0.000 5.359 0.000 0.000 0.000 5.173" Properties=species:S:1:pos:R:3 pbc="T T T"
Hg 0.000 0.000 0.000
As 0.000 2.680 0.000
As 2.680 0.000 0.000
Se 0.000 0.000 2.586
Br 2.680 2.680 2.586
```

Properties
Total moment, μB per atom: 0.1986
Crystal system: tetragonal
Uncorrected formation energy, eV per formula unit: 4.747
Relative energy among the computed polymorphs, meV per atom: 311.8
Fermi-level density of states, states/eV/atom: 1.39


VASP calculation (PBE) on HgAs2SeBr after structural relaxation.

Cell and atoms, written as extended XYZ:
```
5
Lattice="5.221 0.000 0.000 0.000 5.221 0.000 0.000 0.000 5.272" Properties=species:S:1:pos:R:3 pbc="T T T"
Hg 0.000 0.000 0.000
As 0.000 2.610 2.636
As 2.610 0.000 2.636
Se 2.610 2.610 0.000
Br 2.610 2.610 2.636
```

Properties
Total moment, μB per atom: 0.2717
Crystal system: tetragonal
Uncorrected formation energy, eV per formula unit: 5.257
Relative energy among the computed polymorphs, meV per atom: 413.9
Fermi-level density of states, states/eV/atom: 0.91


VASP calculation (PBE) on HgAs2SeBr after structural relaxation.

Cell and atoms, written as extended XYZ:
```
5
Lattice="5.307 0.000 0.000 0.000 5.307 0.000 0.000 0.000 5.247" Properties=species:S:1:pos:R:3 pbc="T T T"
Hg 0.000 0.000 0.000
As 0.000 2.653 0.000
As 2.653 0.000 0.000
Se 2.653 2.653 2.623
Br 0.000 0.000 2.623
```

Properties
Total moment, μB per atom: 0.1188
Crystal system: tetragonal
Uncorrected formation energy, eV per formula unit: 4.748
Relative energy among the computed polymorphs, meV per atom: 312.1
Fermi-level density of states, states/eV/atom: 0.76


VASP calculation (PBE) on HgAs2SeBr after structural relaxation.

Cell and atoms, written as extended XYZ:
```
5
Lattice="5.171 0.000 0.000 0.000 5.171 0.000 0.000 0.000 5.522" Properties=species:S:1:pos:R:3 pbc="T T T"
Hg 0.000 0.000 0.000
As 0.000 2.585 2.761
As 2.585 0.000 2.761
Se 2.585 2.585 2.761
Br 2.585 2.585 0.000
```

Properties
Total moment, μB per atom: 0.3327
Crystal system: tetragonal
Uncorrected formation energy, eV per formula unit: 3.188
Relative energy among the computed polymorphs, meV per atom: 0.0
Fermi-level density of states, states/eV/atom: 0.73


VASP calculation (PBE) on Hg4AsSe2Br after structural relaxation.

Cell and atoms, written as extended XYZ:
```
16
Lattice="-4.095 4.166 5.927 4.095 -4.166 5.927 4.095 4.166 -5.927" Properties=species:S:1:pos:R:3 pbc="T T T"
Hg 0.000 0.044 2.867
Hg 1.902 2.083 0.093
Hg 2.193 -2.083 6.020
Hg 4.095 0.044 3.060
Hg 0.000 4.121 2.867
Hg 1.902 6.249 -0.093
Hg 2.193 2.083 5.834
Hg 4.095 4.121 3.060
As -2.047 2.083 2.964
As 2.047 2.083 2.964
Se 0.000 0.000 0.000
Se 2.047 2.083 -2.964
Se 2.047 -2.083 2.964
Se 0.000 4.166 0.000
Br 4.095 0.000 0.000
Br 0.000 0.000 5.927
```

Properties
Total moment, μB per atom: 0.0000
Crystal system: orthorhombic
Uncorrected formation energy, eV per formula unit: -0.165
Fermi-level density of states, states/eV/atom: 0.33


- The lowest total moment belongs to which entry?
  Hg4AsSe2Br